(1)
CePmGeBr: optimized geometry, GGA-PBE.

a b c (Å): 5.2149 5.2149 5.2149
angles (deg): 60.00 60.00 60.00
Last column: nearest neighbours and their distance in Å.
Atoms (fractional coordinates):
1 Ge 0.2500 0.2500 0.2500  4 Ce 3.19, 4 Pm 3.19
2 Ce 0.0000 0.0000 0.0000  4 Ge 3.19, 4 Br 3.19
3 Br 0.7500 0.7500 0.7500  4 Ce 3.19, 4 Pm 3.19
4 Pm 0.5000 0.5000 0.5000  4 Ge 3.19, 4 Br 3.19

Values from the calculation:
- raw formation energy (eV per atom) = -0.87
- crystal system = cubic

***

(2)
Ce4GeS2Br: optimized geometry, GGA-PBE.

a b c (Å): 4.1245 7.1923 7.1269
angles (deg): 70.67 90.00 90.00
Last column: nearest neighbours and their distance in Å.
Atoms (fractional coordinates):
1 Ce 0.0000 0.2335 0.2491  3 S 2.82-2.88, 2 Ge 2.97, 1 Br 3.02
2 Ce 0.0000 0.7665 0.7509  3 S 2.82-2.88, 2 Ge 2.97, 1 Br 3.02
3 Ce 0.5000 0.2271 0.7650  3 S 2.81-2.88, 1 Ge 2.97, 2 Br 3.04
4 Ce 0.5000 0.7729 0.2350  3 S 2.81-2.88, 1 Ge 2.97, 2 Br 3.04
5 Ge 0.5000 0.5000 0.0000  6 Ce 2.97
6 Br 0.0000 0.5000 0.5000  6 Ce 3.02-3.04
7 S 0.0000 0.0000 0.0000  6 Ce 2.81-2.82
8 S 0.5000 0.0000 0.5000  6 Ce 2.88

Values from the calculation:
- raw formation energy (eV per atom) = -1.52
- crystal system = monoclinic

***

(3)
Ce8Ge3SBr4: optimized geometry, GGA-PBE.

a b c (Å): 8.4762 8.4589 8.4762
angles (deg): 120.07 120.00 90.00
Last column: nearest neighbours and their distance in Å.
Atoms (fractional coordinates):
1 Br 0.0000 0.0000 0.5000  6 Ce 3.05-3.06
2 Br 0.5000 0.0000 0.5000  6 Ce 3.05-3.06
3 Br 0.0000 0.0000 0.0000  6 Ce 3.05-3.06
4 Br 0.5000 0.0000 0.0000  6 Ce 3.15
5 Ce 0.2373 0.7274 0.4746  1 S 2.84, 2 Ge 2.94, 3 Br 3.06-3.15
6 Ce 0.2473 0.2726 0.0100  1 S 2.84, 2 Ge 2.94, 3 Br 3.06-3.15
7 Ce 0.7627 0.2726 0.0100  1 S 2.84, 2 Ge 2.94, 3 Br 3.06-3.15
8 Ce 0.7627 0.2726 0.5254  1 S 2.84, 2 Ge 2.94, 3 Br 3.06-3.15
9 Ce 0.7451 0.7353 0.4902  3 Ge 2.94, 3 Br 3.05
10 Ce 0.2549 0.2647 0.5098  3 Ge 2.94, 3 Br 3.05
11 Ce 0.7527 0.7274 0.9900  1 S 2.84, 2 Ge 2.94, 3 Br 3.06-3.15
12 Ce 0.2373 0.7274 0.9900  1 S 2.84, 2 Ge 2.94, 3 Br 3.06-3.15
13 Ge 0.5000 0.5000 0.5000  6 Ce 2.94
14 Ge 0.0000 0.5000 0.5000  6 Ce 2.94
15 Ge 0.5000 0.5000 0.0000  6 Ce 2.94
16 S 0.0000 0.5000 0.0000  6 Ce 2.84

Values from the calculation:
- raw formation energy (eV per atom) = -1.16
- crystal system = trigonal

***

(4)
Ce6GeS2Br3: optimized geometry, GGA-PBE.

a b c (Å): 7.1229 7.1229 7.4406
angles (deg): 99.19 99.19 120.10
Last column: nearest neighbours and their distance in Å.
Atoms (fractional coordinates):
1 S 0.6680 0.3320 0.0000  6 Ce 2.80-2.81
2 S 0.3320 0.6680 0.0000  6 Ce 2.80-2.81
3 Br 0.8408 0.1592 0.5000  6 Ce 3.07-3.11
4 Br 0.1592 0.8408 0.5000  6 Ce 3.07-3.11
5 Br 0.5000 0.5000 0.5000  6 Ce 3.03-3.10
6 Ce 0.9251 0.5808 0.7768  2 S 2.81, 1 Ge 2.91, 3 Br 3.07-3.11
7 Ce 0.0749 0.4192 0.2232  2 S 2.81, 1 Ge 2.91, 3 Br 3.07-3.11
8 Ce 0.5808 0.9251 0.7768  2 S 2.81, 1 Ge 2.91, 3 Br 3.07-3.11
9 Ce 0.7268 0.7268 0.2177  2 S 2.80, 1 Ge 2.90, 3 Br 3.03-3.07
10 Ce 0.2732 0.2732 0.7823  2 S 2.80, 1 Ge 2.90, 3 Br 3.03-3.07
11 Ce 0.4192 0.0749 0.2232  2 S 2.81, 1 Ge 2.91, 3 Br 3.07-3.11
12 Ge 0.0000 0.0000 0.0000  6 Ce 2.90-2.91

Values from the calculation:
- raw formation energy (eV per atom) = -1.41
- crystal system = monoclinic

***

(5)
Ce4GeSe2Br: optimized geometry, GGA-PBE.

a b c (Å): 4.2346 7.3292 7.2902
angles (deg): 70.44 90.00 90.00
Last column: nearest neighbours and their distance in Å.
Atoms (fractional coordinates):
1 Ce 0.0000 0.7517 0.7561  3 Se 2.94-3.00, 2 Ge 2.98, 1 Br 3.03
2 Ce 0.0000 0.2483 0.2439  3 Se 2.94-3.00, 2 Ge 2.98, 1 Br 3.03
3 Ce 0.5000 0.2428 0.7600  3 Se 2.94-3.00, 1 Ge 2.97, 2 Br 3.04
4 Ce 0.5000 0.7572 0.2400  3 Se 2.94-3.00, 1 Ge 2.97, 2 Br 3.04
5 Br 0.0000 0.5000 0.5000  6 Ce 3.03-3.04
6 Se 0.0000 0.0000 0.0000  6 Ce 2.94
7 Se 0.5000 0.0000 0.5000  6 Ce 3.00
8 Ge 0.5000 0.5000 0.0000  6 Ce 2.97-2.98

Values from the calculation:
- raw formation energy (eV per atom) = -1.41
- crystal system = monoclinic

***

(6)
Ce4Ge2SeBr: optimized geometry, GGA-PBE.

a b c (Å): 4.2795 7.2869 7.4065
angles (deg): 70.16 90.00 90.00
Last column: nearest neighbours and their distance in Å.
Atoms (fractional coordinates):
1 Ce 0.5000 0.2377 0.7596  3 Ge 2.94-2.99, 1 Se 3.02, 2 Br 3.07
2 Ce 0.0000 0.2423 0.2473  3 Ge 2.94-2.99, 2 Se 3.02, 1 Br 3.07
3 Ce 0.5000 0.7623 0.2404  3 Ge 2.94-2.99, 1 Se 3.02, 2 Br 3.07
4 Ce 0.0000 0.7577 0.7527  3 Ge 2.94-2.99, 2 Se 3.02, 1 Br 3.07
5 Ge 0.0000 0.0000 0.0000  6 Ce 2.94
6 Ge 0.5000 0.0000 0.5000  6 Ce 2.99
7 Se 0.5000 0.5000 0.0000  6 Ce 3.02
8 Br 0.0000 0.5000 0.5000  6 Ce 3.07

Values from the calculation:
- raw formation energy (eV per atom) = -1.16
- crystal system = monoclinic

***

(7)
Ce4GeTe2Br: optimized geometry, GGA-PBE.

a b c (Å): 4.3549 7.6833 7.4795
angles (deg): 70.76 90.00 90.00
Last column: nearest neighbours and their distance in Å.
Atoms (fractional coordinates):
1 Br 0.0000 0.5000 0.5000  6 Ce 3.05
2 Ce 0.5000 0.7331 0.2479  1 Ge 2.97, 2 Br 3.05, 3 Te 3.14-3.21
3 Ce 0.5000 0.2669 0.7521  1 Ge 2.97, 2 Br 3.05, 3 Te 3.14-3.21
4 Ce 0.0000 0.2708 0.2359  2 Ge 2.98, 1 Br 3.05, 3 Te 3.14-3.20
5 Ce 0.0000 0.7292 0.7641  2 Ge 2.98, 1 Br 3.05, 3 Te 3.14-3.20
6 Te 0.0000 0.0000 0.0000  6 Ce 3.14
7 Te 0.5000 0.0000 0.5000  6 Ce 3.20-3.21
8 Ge 0.5000 0.5000 0.0000  6 Ce 2.97-2.98

Values from the calculation:
- raw formation energy (eV per atom) = -1.19
- crystal system = monoclinic

***

(8)
Ce2HBr: optimized geometry, GGA-PBE.

a b c (Å): 3.5904 3.5904 7.9979
angles (deg): 77.03 77.03 60.00
Last column: nearest neighbours and their distance in Å.
Atoms (fractional coordinates):
1 Ce 0.2694 0.2694 0.1917  3 H 2.56
2 Ce 0.0647 0.0647 0.8060  3 H 2.54
3 Br 0.4980 0.4980 0.5059  6 Ce 3.11-3.19
4 H 0.6679 0.6679 0.9963  6 Ce 2.54-2.56

Values from the calculation:
- crystal system = trigonal
- excess energy over the best structure of this formula in the dataset (meV/atom) = 14